Entry 1:
Density functional theory data (GGA-PBE) for an optimized crystal structure of AsPd.

Lattice parameters (Å, degrees): 3.696 3.696 3.696 60.00 60.00 60.00
Sites, in units of the cell vectors:
1 As 0.000 0.000 0.000
2 Pd 0.500 0.500 0.500

Values from the calculation:
**Space-group type**: Fm-3m
**Uncorrected energy**: -10.090 eV per cell



Entry 2:
Density functional theory data (GGA-PBE) for an optimized crystal structure of RbNaDy2As2.

Lattice parameters (Å, degrees): 4.331 4.331 13.533 90.00 90.00 120.00
Sites, in units of the cell vectors:
1 Rb 0.000 0.000 0.000
2 Na 0.667 0.333 0.507
3 Dy 0.333 0.667 0.270
4 Dy 0.333 0.667 0.719
5 As 0.000 0.000 0.631
6 As 0.667 0.333 0.185

Values from the calculation:
**Space-group type**: P3m1
**Uncorrected energy**: -23.904 eV per cell